1.
# CsTaTe2AuSe

CsTaTe2AuSe after structural relaxation (PBE, OQMD via LeMat-Bulk).

```
CsTaTe2AuSe
1.0
2.0123 -8.6900 0.0000
2.0123 8.6900 0.0000
0.0000 0.0000 10.4862
Au Cs Se Ta Te
2 2 2 2 4
Direct
0.9580 0.0420 0.2500
0.0420 0.9580 0.7500
0.2557 0.7443 0.2500
0.7443 0.2557 0.7500
0.5571 0.4429 0.2500
0.4429 0.5571 0.7500
0.5000 0.5000 0.0000
0.5000 0.5000 0.5000
0.8837 0.1163 0.0260
0.8837 0.1163 0.4740
0.1163 0.8837 0.5260
0.1163 0.8837 0.9740
```

Computed properties:
E_tot	-4.677	eV per atom

***

2.
# TbTa

TbTa after structural relaxation (PBE, OQMD via LeMat-Bulk).

```
TbTa
1.0
3.1732 0.0000 0.0000
-1.5866 2.7481 0.0000
0.0000 0.0000 5.3048
Ta Tb
1 1
Direct
0.6667 0.3333 0.7500
0.3333 0.6667 0.2500
```

Computed properties:
energy relative to the elements	1.0	eV/f.u.
offset from the most stable computed form	0	kJ/mol of formula units

***

3.
# TbUCd

TbUCd after structural relaxation (PBE, OQMD via LeMat-Bulk).

```
TbUCd
1.0
-3.8443 2.1291 2.4293
-1.1629 4.8077 -0.8644
-4.2075 1.1579 -2.4838
Cd Tb U
1 1 1
Direct
0.2500 0.2500 0.2500
0.7500 0.7500 0.7500
0.0000 0.0000 0.0000
```

Computed properties:
energy relative to the elements	3.2	eV/f.u.

***

4.
# Cu3SbS3

Cu3SbS3 after structural relaxation (PBE, OQMD via LeMat-Bulk).

```
Cu3SbS3
1.0
-5.0440 -5.0440 5.0440
-5.0440 5.0440 -5.0440
5.0440 -5.0440 -5.0440
Cu S Sb
12 12 4
Direct
0.1814 0.1814 0.0000
0.8186 0.8186 0.0000
0.1814 0.0000 0.1814
0.0000 0.1814 0.1814
0.7500 0.5000 0.2500
0.5000 0.7500 0.2500
0.7500 0.2500 0.5000
0.2500 0.7500 0.5000
0.5000 0.2500 0.7500
0.2500 0.5000 0.7500
0.8186 0.0000 0.8186
0.0000 0.8186 0.8186
0.4674 0.2462 0.0000
0.2462 0.4674 0.0000
0.7538 0.7538 0.2212
0.4674 0.0000 0.2462
0.0000 0.4674 0.2462
0.2462 0.0000 0.4674
0.0000 0.2462 0.4674
0.7788 0.5326 0.5326
0.5326 0.7788 0.5326
0.7538 0.2212 0.7538
0.2212 0.7538 0.7538
0.5326 0.5326 0.7788
0.5453 0.0000 0.0000
0.0000 0.5453 0.0000
0.4547 0.4547 0.4547
0.0000 0.0000 0.5453
```

Computed properties:
offset from the most stable computed form	11	kJ/mol of formula units

***

5.
# YHoCo2Cl2

YHoCo2Cl2 after structural relaxation (PBE, OQMD via LeMat-Bulk).

```
YHoCo2Cl2
1.0
3.8430 0.0000 0.0000
-1.9215 3.3282 0.0000
0.0000 0.0000 10.6082
Cl Co Ho Y
2 2 1 1
Direct
0.3333 0.6667 0.1620
0.6667 0.3333 0.8398
0.6667 0.3333 0.4904
0.3333 0.6667 0.5071
0.0000 0.0000 0.3240
0.0000 0.0000 0.6767
```

Computed properties:
E_tot	-6.008	eV per atom

***

6.
# RbTe5Pd3

RbTe5Pd3 after structural relaxation (PBE, OQMD via LeMat-Bulk).

```
RbTe5Pd3
1.0
-1.8121 -5.3759 2.3437
4.6064 3.0950 2.6228
-5.1428 3.7448 4.6132
Pd Rb Te
3 1 5
Direct
0.5000 0.0000 0.5000
0.0000 0.5000 0.5000
0.5000 0.5000 0.5000
0.0000 0.0000 0.0000
0.6667 0.3333 0.2400
0.3333 0.6667 0.2400
0.0000 0.0000 0.5000
0.6667 0.3333 0.7600
0.3333 0.6667 0.7600
```

Computed properties:
E_tot	-3.905	eV per atom

***

Please write out number 3 again, unchanged.
# TbUCd

TbUCd after structural relaxation (PBE, OQMD via LeMat-Bulk).

```
TbUCd
1.0
-3.8443 2.1291 2.4293
-1.1629 4.8077 -0.8644
-4.2075 1.1579 -2.4838
Cd Tb U
1 1 1
Direct
0.2500 0.2500 0.2500
0.7500 0.7500 0.7500
0.0000 0.0000 0.0000
```

Computed properties:
energy relative to the elements	3.2	eV/f.u.